Entry 1:
ZrNCl2 | PBE-GGA | relaxed

Summary:
Uncorrected formation energy in eV per atom: 0.15
Size of the total moment in μB/atom: 0.7378

a b c (Å): 10.569 10.569 10.569
angles (deg): 18.29 18.29 18.29
Positions (direct):
1 Zr 0.000 0.000 0.000
2 N 0.500 0.500 0.500
3 Cl 0.391 0.391 0.391
4 Cl 0.609 0.609 0.609

***

Entry 2:
LiAc2SnS6 | PBE-GGA | relaxed

Summary:
Uncorrected formation energy in eV per atom: -1.34
Size of the total moment in μB/atom: 0.0000

a b c (Å): 6.199 7.689 11.590
angles (deg): 90.00 121.87 90.00
Positions (direct):
1 Li 0.000 0.000 0.000
2 Li 0.000 0.500 0.500
3 Ac 0.202 0.104 0.755
4 Ac 0.202 0.396 0.255
5 Ac 0.798 0.604 0.745
6 Ac 0.798 0.896 0.245
7 Sn 0.500 0.000 0.500
8 Sn 0.500 0.500 0.000
9 S 0.114 0.177 0.457
10 S 0.114 0.323 0.957
11 S 0.290 0.693 0.458
12 S 0.290 0.807 0.958
13 S 0.333 0.021 0.248
14 S 0.333 0.479 0.748
15 S 0.667 0.521 0.252
16 S 0.667 0.979 0.752
17 S 0.710 0.193 0.042
18 S 0.710 0.307 0.542
19 S 0.886 0.677 0.043
20 S 0.886 0.823 0.543

***

Entry 3:
NdHoErTl | PBE-GGA | relaxed

Summary:
Energy of formation from the pure elements in kJ per mole of atoms: -4.3
Size of the total moment in μB/atom: 0.3013

a b c (Å): 5.507 5.507 5.507
angles (deg): 60.00 60.00 60.00
Positions (direct):
1 Nd 0.000 0.000 0.000
2 Ho 0.500 0.500 0.500
3 Er 0.750 0.750 0.750
4 Tl 0.250 0.250 0.250

***

Entry 4:
TaPSe3 | PBE-GGA | relaxed

Summary:
Uncorrected formation energy in eV per atom: 0.80
Size of the total moment in μB/atom: 0.3877

a b c (Å): 4.714 4.714 4.714
angles (deg): 90.00 90.00 90.00
Positions (direct):
1 Ta 0.000 0.000 0.000
2 P 0.500 0.500 0.500
3 Se 0.000 0.500 0.500
4 Se 0.500 0.000 0.500
5 Se 0.500 0.500 0.000

***

Energy
In order: -4.99; -5.23; -4.11; -4.75
Unit: eV/atom
Ρ
In order: 2.9; 5.5; 9.6; 7.1
Unit: g/cm³